No. 1
FePSO2: single point on PBEsol structure, meta-GGA SCAN.

Geometry as POSCAR:
```
FePSO2
1.0
3.486 0.000 0.000
0.000 3.486 0.000
0.000 0.000 4.683
O Fe S P
2 1 1 1
direct
0.500 0.000 0.000
0.000 0.500 0.000
0.500 0.500 0.500
0.000 0.000 0.000
0.000 0.000 0.500
```

Output
E_form (uncorrected)	0.183	eV/atom
SG	P4/mmm
D(E_F)	4.591	states/eV/cell

***

No. 2
Y2AsRh: single point on PBEsol structure, meta-GGA SCAN.

Geometry as POSCAR:
```
Y2AsRh
1.0
4.786 0.000 0.000
2.393 4.145 0.000
2.393 1.382 3.908
Y As Rh
2 1 1
direct
0.000 0.000 0.000
0.250 0.250 0.250
0.500 0.500 0.500
0.750 0.750 0.750
```

Output
E_form	-0.3991	eV/atom
SG	F-43m
D(E_F)	3.357	states/eV/cell

***

No. 3
Nd2Mg: single point on PBEsol structure, meta-GGA SCAN.

Geometry as POSCAR:
```
Nd2Mg
1.0
-3.113 -0.715 -1.989
0.964 -5.464 0.455
-3.054 0.151 8.285
Mg Nd
2 4
direct
0.569 0.750 0.138
0.431 0.250 0.862
0.229 0.750 0.458
0.088 0.250 0.177
0.771 0.250 0.542
0.912 0.750 0.823
```

Output
distance to the lowest polymorph of the same formula	0	meV/atom
E_form	-0.0784	eV/atom
SG	Cmcm
D(E_F)	6.271	states/eV/cell

***

No. 4
MnFe2Ni: single point on PBEsol structure, meta-GGA SCAN.

Geometry as POSCAR:
```
MnFe2Ni
1.0
2.443 0.000 0.000
0.000 4.300 0.002
-1.221 -0.699 4.005
Ni Mn Fe
1 1 2
direct
0.749 0.244 0.499
0.502 0.508 0.003
0.999 0.008 0.998
0.250 0.740 0.500
```

Output
E_form	0.0320	eV/atom
SG	Cm
D(E_F)	3.706	states/eV/cell